# 1
## TaZnSeN2 (PBE)

Data for an optimized crystal structure of TaZnSeN2.

* total moment: 0.00 μB per atom
* symmetry: No. 123
* uncorrected formation energy: 1473.5 meV/atom
* raw total energy: -5.179 eV/atom
* relative energy among the computed polymorphs: 6.74 eV per formula unit

Lattice parameters (Å, degrees): 3.8273 3.8273 4.8740 90.00 90.00 90.00
Fractional coordinates of all 5 atoms:
Zn 0.0000 0.0000 0.0000
Ta 0.5000 0.5000 0.5000
N 0.5000 0.0000 0.0000
Se 0.0000 0.0000 0.5000
N 0.0000 0.5000 0.0000

---

# 2
## TaZnSeN2 (PBE)

Data for an optimized crystal structure of TaZnSeN2.

* total moment: 0.00 μB per atom
* symmetry: No. 123
* uncorrected formation energy: 125.5 meV/atom
* raw total energy: -6.527 eV/atom
* relative energy among the computed polymorphs: 0.00 eV per formula unit

Lattice parameters (Å, degrees): 3.9627 3.9627 5.5360 90.00 90.00 90.00
Fractional coordinates of all 5 atoms:
Se 0.0000 0.0000 0.5000
N 0.0000 0.5000 0.0000
N 0.5000 0.0000 0.0000
Zn 0.5000 0.5000 0.5000
Ta 0.0000 0.0000 0.0000